VASP calculation (PBE-GGA) on crystalline Na3HfO4 at its relaxed geometry. Values from VASP.

Cell and atoms, written as Quantum ESPRESSO input:
```
&SYSTEM
  ibrav = 0, nat = 8, ntyp = 3
/
ATOMIC_SPECIES
Na 22.99 Na.upf
Hf 178.49 Hf.upf
O 16.00 O.upf
ATOMIC_POSITIONS crystal
Na 0.056 0.472 0.472
Na 0.472 0.056 0.472
Na 0.472 0.472 0.056
Hf 0.911 0.911 0.911
O 0.327 0.931 0.931
O 0.583 0.583 0.583
O 0.931 0.327 0.931
O 0.931 0.931 0.327
CELL_PARAMETERS angstrom
3.803 2.196 2.069
-3.803 2.196 2.069
0.000 -4.392 2.069
```

Values from the calculation:
space group = R3m
ΔE_f (raw) = -1955.2 meV per atom
magnetization = 1.03 μB/cell